DFT (GGA-PBE) results for a relaxed CsGaNiS3 crystal.

Magnetization (Bohr magnetons per cell): 0.16
E_tot (eV/atom): -4.2449
Crystal system: orthorhombic
Volume (Å³/cell): 577.73

Cell: 3.7678 14.5909 10.5090 Å, 90.00 90.00 90.00°
Space group Cmc2_1 (No. 36)
Unique sites:
Cs 0.0000 0.2248 0.0000 (multiplicity 4)
Ga 0.0000 0.4975 0.2599 (multiplicity 4)
Ni 0.0000 0.0650 0.4980 (multiplicity 4)
S 0.0000 0.1070 0.7011 (multiplicity 4)
S 0.0000 0.1085 0.2956 (multiplicity 4)
S 0.0000 0.4905 0.4933 (multiplicity 4)

DFT (GGA-PBE) results for a relaxed CsGaOs crystal.

Magnetization (Bohr magnetons per cell): 8.70
E_tot (eV/atom): -2.7091
Crystal system: cubic
Volume (Å³/cell): 434.73

Cell: 7.5754 7.5754 7.5754 Å, 90.00 90.00 90.00°
Space group F-43m (No. 216)
Unique sites:
Cs 0.0000 0.0000 0.0000 (multiplicity 4)
Ga 0.2500 0.2500 0.7500 (multiplicity 4)
Os 0.2500 0.2500 0.2500 (multiplicity 4)

DFT (GGA-PBE) results for a relaxed CsGaPdS3 crystal.

E_tot (eV/atom): -4.1398
Crystal system: monoclinic
Volume (Å³/cell): 320.36

Cell: 8.9660 3.6048 10.6215 Å, 90.00 111.06 90.00°
Space group P2_1/m (No. 11)
Unique sites:
Cs 0.2115 0.2500 0.2383 (multiplicity 2)
Ga 0.3443 0.7500 0.9064 (multiplicity 2)
Pd 0.1157 0.2500 0.6133 (multiplicity 2)
S 0.1494 0.2500 0.8595 (multiplicity 2)
S 0.1781 0.7500 0.5056 (multiplicity 2)
S 0.4860 0.7500 0.1399 (multiplicity 2)

DFT (GGA-PBE) results for a relaxed CsGaPdSe3 crystal.

E_tot (eV/atom): -3.7974
Crystal system: monoclinic
Volume (Å³/cell): 360.80

Cell: 9.4125 3.7860 10.9098 Å, 90.00 111.87 90.00°
Space group P2_1/m (No. 11)
Unique sites:
Cs 0.2150 0.2500 0.2389 (multiplicity 2)
Ga 0.3410 0.7500 0.9095 (multiplicity 2)
Pd 0.1088 0.2500 0.6161 (multiplicity 2)
Se 0.1416 0.2500 0.8650 (multiplicity 2)
Se 0.1820 0.7500 0.5106 (multiplicity 2)
Se 0.4961 0.7500 0.1500 (multiplicity 2)

DFT (GGA-PBE) results for a relaxed CsGaTe3Pd crystal.

E_tot (eV/atom): -3.4767
Crystal system: monoclinic
Volume (Å³/cell): 423.38

Cell: 10.0193 4.0778 11.2844 Å, 90.00 113.32 90.00°
Space group P2_1/m (No. 11)
Unique sites:
Cs 0.2270 0.2500 0.2545 (multiplicity 2)
Ga 0.3329 0.7500 0.9083 (multiplicity 2)
Te 0.1271 0.2500 0.8602 (multiplicity 2)
Te 0.2029 0.7500 0.5371 (multiplicity 2)
Te 0.4967 0.2500 0.8387 (multiplicity 2)
Pd 0.0820 0.2500 0.6047 (multiplicity 2)

DFT (GGA-PBE) results for a relaxed CsPrGaTe3 crystal.

Magnetization (Bohr magnetons per cell): 0.01
Distance to the lowest polymorph of the same formula (meV/atom): 0.0
Crystal system: orthorhombic
Volume (Å³/cell): 984.75

Cell: 4.9168 16.4100 12.2049 Å, 90.00 90.00 90.00°
Space group Cmcm (No. 63)
Unique sites:
Cs 0.0000 0.2448 0.2500 (multiplicity 4)
Pr 0.0000 0.5000 0.0000 (multiplicity 4)
Ga 0.0000 0.0256 0.7500 (multiplicity 4)
Te 0.0000 0.1229 0.5639 (multiplicity 8)
Te 0.0000 0.4433 0.7500 (multiplicity 4)

DFT (GGA-PBE) results for a relaxed CsPrGaTe3 crystal.

Magnetization (Bohr magnetons per cell): 0.01
Distance to the lowest polymorph of the same formula (meV/atom): 9.6
Crystal system: orthorhombic
Volume (Å³/cell): 892.72

Cell: 12.5889 5.1461 13.7801 Å, 90.00 90.00 90.00°
Space group Pnma (No. 62)
Unique sites:
Cs 0.1783 0.2500 0.0047 (multiplicity 4)
Pr 0.0268 0.2500 0.3281 (multiplicity 4)
Ga 0.2354 0.2500 0.7203 (multiplicity 4)
Te 0.0518 0.7500 0.1804 (multiplicity 4)
Te 0.0951 0.2500 0.5611 (multiplicity 4)
Te 0.2091 0.7500 0.7911 (multiplicity 4)

DFT (GGA-PBE) results for a relaxed CsGaRe crystal.

Magnetization (Bohr magnetons per cell): 12.64
Distance to the lowest polymorph of the same formula (meV/atom): 580.0
Crystal system: cubic
Volume (Å³/cell): 445.57

Cell: 7.6379 7.6379 7.6379 Å, 90.00 90.00 90.00°
Space group F-43m (No. 216)
Unique sites:
Cs 0.0000 0.0000 0.0000 (multiplicity 4)
Ga 0.2500 0.2500 0.7500 (multiplicity 4)
Re 0.2500 0.2500 0.2500 (multiplicity 4)